1.
Here is a geometry-optimized Pu6Pt4Au structure from Alexandria via LeMat-Bulk. Energies are from GGA-PBE.

Properties
As for the symmetry: I-42m, No. 121. For the formation energy, the calculation gives -0.55 eV/atom.

a = 8.7739 Å, b = 8.7739 Å, c = 8.7739 Å
α = 141.31°, β = 141.31°, γ = 55.87°
Element x y z (fractional)
Pu 0.0000 0.5000 0.5000
Pu 0.1174 0.1174 0.5920
Pu 0.4746 0.8826 0.0000
Pu 0.5000 0.0000 0.5000
Pu 0.5254 0.5254 0.4081
Pu 0.8826 0.4746 0.0000
Pt 0.0533 0.6753 0.0000
Pt 0.3247 0.3247 0.3780
Pt 0.6753 0.0533 0.0000
Pt 0.9467 0.9467 0.6220
Au 0.5000 0.5000 0.0000

2.
Here is a geometry-optimized PuPa3Ge4 structure from Alexandria via LeMat-Bulk. Energies are from GGA-PBE.

Properties
As for the symmetry: Cmmm, No. 65. For the formation energy, the calculation gives -0.39 eV/atom.

a = 7.1761 Å, b = 7.1761 Å, c = 4.1570 Å
α = 90.00°, β = 90.00°, γ = 109.59°
Element x y z (fractional)
Pu 0.0000 0.0000 0.0000
Pa 0.0000 0.5000 0.5000
Pa 0.5000 0.0000 0.5000
Pa 0.5000 0.5000 0.0000
Ge 0.2523 0.7477 0.0000
Ge 0.2542 0.2542 0.5000
Ge 0.7458 0.7458 0.5000
Ge 0.7477 0.2523 0.0000

3.
Here is a geometry-optimized RbTeS2 structure from Alexandria via LeMat-Bulk. Energies are from GGA-PBE.

Properties
As for the symmetry: R-3m, No. 166. For the uncorrected formation energy, the calculation gives -110 meV per atom.

a = 9.2686 Å, b = 9.2686 Å, c = 9.2686 Å
α = 26.52°, β = 26.52°, γ = 26.52°
Element x y z (fractional)
Rb 0.0000 0.0000 0.0000
Te 0.5000 0.5000 0.5000
S 0.1180 0.1180 0.1180
S 0.8820 0.8820 0.8820

4.
Here is a geometry-optimized Ho2PuHg structure from Alexandria via LeMat-Bulk. Energies are from GGA-PBE.

Properties
As for the symmetry: P4/mmm, No. 123. For the formation energy, the calculation gives -0.14 eV/atom. The relative energy among the computed polymorphs comes out at 0 meV per atom.

a = 3.4997 Å, b = 3.4997 Å, c = 8.9134 Å
α = 90.00°, β = 90.00°, γ = 90.00°
Element x y z (fractional)
Ho 0.0000 0.0000 0.2287
Ho 0.0000 0.0000 0.7713
Pu 0.5000 0.5000 0.5000
Hg 0.5000 0.5000 0.0000

5.
Here is a geometry-optimized NaV4Pd2 structure from Alexandria via LeMat-Bulk. Energies are from GGA-PBE.

Properties
As for the symmetry: I4/mmm, No. 139. For the formation energy, the calculation gives 1.38 eV/atom.

a = 7.2480 Å, b = 7.2480 Å, c = 7.2480 Å
α = 143.30°, β = 143.30°, γ = 52.87°
Element x y z (fractional)
Na 0.0000 0.0000 0.0000
V 0.0000 0.5000 0.5000
V 0.2004 0.2004 0.0000
V 0.5000 0.0000 0.5000
V 0.7996 0.7996 0.0000
Pd 0.3924 0.3924 0.0000
Pd 0.6076 0.6076 0.0000

6.
Here is a geometry-optimized Tm2MgAl2 structure from Alexandria via LeMat-Bulk. Energies are from GGA-PBE.

Properties
As for the symmetry: Cmmm, No. 65. For the formation energy, the calculation gives -0.33 eV/atom.

a = 7.7573 Å, b = 7.7573 Å, c = 3.4815 Å
α = 90.00°, β = 90.00°, γ = 146.65°
Element x y z (fractional)
Tm 0.1228 0.8772 0.0000
Tm 0.8772 0.1228 0.0000
Mg 0.5000 0.5000 0.5000
Al 0.2977 0.7023 0.5000
Al 0.7023 0.2977 0.5000

7.
Here is a geometry-optimized BaSiBr2 structure from Alexandria via LeMat-Bulk. Energies are from GGA-PBE.

Properties
As for the symmetry: C2/m, No. 12. The relative energy among the computed polymorphs comes out at 207 meV per atom. For the uncorrected formation energy, the calculation gives -645 meV per atom.

a = 5.7885 Å, b = 5.7885 Å, c = 5.7349 Å
α = 113.70°, β = 113.70°, γ = 100.39°
Element x y z (fractional)
Ba 0.0000 0.0000 0.0000
Si 0.5000 0.5000 0.0000
Br 0.0000 0.5000 0.5000
Br 0.5000 0.0000 0.5000

8.
Here is a geometry-optimized Ba2NaTl4Au3 structure from Alexandria via LeMat-Bulk. Energies are from GGA-PBE.

Properties
As for the symmetry: P-4m2, No. 115. For the formation energy, the calculation gives -0.34 eV/atom.

a = 4.7679 Å, b = 4.7679 Å, c = 13.0326 Å
α = 90.00°, β = 90.00°, γ = 90.00°
Element x y z (fractional)
Ba 0.0000 0.5000 0.2368
Ba 0.5000 0.0000 0.7632
Na 0.0000 0.0000 0.5000
Tl 0.0000 0.0000 0.0000
Tl 0.0000 0.5000 0.6387
Tl 0.5000 0.0000 0.3613
Tl 0.5000 0.5000 0.0000
Au 0.0000 0.5000 0.8591
Au 0.5000 0.0000 0.1409
Au 0.5000 0.5000 0.5000

9.
Here is a geometry-optimized Ba7Sr4Ac structure from Alexandria via LeMat-Bulk. Energies are from GGA-PBE.

Properties
As for the symmetry: Cm, No. 8. For the formation energy, the calculation gives 0.04 eV/atom.

a = 11.5779 Å, b = 11.5779 Å, c = 16.1256 Å
α = 117.39°, β = 117.39°, γ = 21.49°
Element x y z (fractional)
Ba 0.0000 0.0000 0.0000
Ba 0.0531 0.0531 0.4987
Ba 0.3606 0.3606 0.7474
Ba 0.3834 0.3834 0.4898
Ba 0.5224 0.5224 0.2504
Ba 0.6704 0.6704 0.0026
Ba 0.6944 0.6944 0.7525
Sr 0.0265 0.0265 0.7473
Sr 0.1974 0.1974 0.2501
Sr 0.3353 0.3353 0.0089
Sr 0.7188 0.7188 0.4955
Ac 0.8579 0.8579 0.2476

10.
Here is a geometry-optimized Sn2BiRh2 structure from Alexandria via LeMat-Bulk. Energies are from GGA-PBE.

Properties
As for the symmetry: I4/mmm, No. 139. For the formation energy, the calculation gives -0.12 eV/atom. The relative energy among the computed polymorphs comes out at 133 meV per atom.

a = 6.8464 Å, b = 6.8464 Å, c = 6.8464 Å
α = 144.43°, β = 144.43°, γ = 51.19°
Element x y z (fractional)
Sn 0.2500 0.7500 0.5000
Sn 0.7500 0.2500 0.5000
Bi 0.0000 0.0000 0.0000
Rh 0.3859 0.3859 0.0000
Rh 0.6141 0.6141 0.0000

11.
Here is a geometry-optimized Pr2AlCu3 structure from Alexandria via LeMat-Bulk. Energies are from GGA-PBE.

Properties
As for the symmetry: Fmmm, No. 69. For the formation energy, the calculation gives -0.22 eV/atom. The relative energy among the computed polymorphs comes out at 5 meV per atom.

a = 8.7414 Å, b = 8.5224 Å, c = 5.8428 Å
α = 72.25°, β = 68.21°, γ = 39.54°
Element x y z (fractional)
Pr 0.2368 0.7632 0.7632
Pr 0.2500 0.2500 0.2500
Pr 0.7500 0.7500 0.7500
Pr 0.7632 0.2368 0.2368
Al 0.3351 0.3351 0.6649
Al 0.6649 0.6649 0.3351
Cu 0.1682 0.1682 0.8318
Cu 0.1697 0.6647 0.3353
Cu 0.3353 0.8303 0.1697
Cu 0.6647 0.1697 0.8303
Cu 0.8303 0.3353 0.6647
Cu 0.8318 0.8318 0.1682

12.
Here is a geometry-optimized LaScNbH2 structure from Alexandria via LeMat-Bulk. Energies are from GGA-PBE.

Properties
As for the symmetry: P4/mmm, No. 123. The calculation puts the total energy at -4.95 eV/atom.

a = 4.2556 Å, b = 4.2556 Å, c = 5.7741 Å
α = 90.00°, β = 90.00°, γ = 90.00°
Element x y z (fractional)
La 0.0000 0.0000 0.0000
Sc 0.5000 0.5000 0.5000
Nb 0.0000 0.0000 0.5000
H 0.0000 0.5000 0.0000
H 0.5000 0.0000 0.0000

13.
Here is a geometry-optimized SrBiAu3 structure from Alexandria via LeMat-Bulk. Energies are from GGA-PBE.

Properties
As for the symmetry: Pm-3m, No. 221. For the formation energy, the calculation gives 0.61 eV/atom. The relative energy among the computed polymorphs comes out at 1028 meV per atom.

a = 5.5660 Å, b = 5.5660 Å, c = 5.5660 Å
α = 90.00°, β = 90.00°, γ = 90.00°
Element x y z (fractional)
Sr 0.0000 0.0000 0.0000
Bi 0.5000 0.5000 0.5000
Au 0.0000 0.0000 0.5000
Au 0.0000 0.5000 0.0000
Au 0.5000 0.0000 0.0000

14.
Here is a geometry-optimized PaCuIO4 structure from Alexandria via LeMat-Bulk. Energies are from GGA-PBE.

Properties
As for the symmetry: C2/m, No. 12. For the uncorrected formation energy, the calculation gives -1674 meV per atom.

a = 6.5769 Å, b = 6.5769 Å, c = 6.0071 Å
α = 92.80°, β = 92.80°, γ = 59.18°
Element x y z (fractional)
Pa 0.2205 0.2205 0.1341
Pa 0.7795 0.7795 0.8659
Cu 0.1137 0.1137 0.6125
Cu 0.8863 0.8863 0.3875
I 0.4357 0.4357 0.7901
I 0.5643 0.5643 0.2099
O 0.0386 0.6200 0.1454
O 0.0480 0.0480 0.3114
O 0.2584 0.2584 0.4846
O 0.3800 0.9614 0.8546
O 0.6200 0.0386 0.1454
O 0.7416 0.7416 0.5154
O 0.9520 0.9520 0.6886
O 0.9614 0.3800 0.8546

15.
Here is a geometry-optimized LaSmS structure from Alexandria via LeMat-Bulk. Energies are from GGA-PBE.

Properties
As for the symmetry: Pmmn, No. 59. The relative energy among the computed polymorphs comes out at 0 meV per atom. For the uncorrected formation energy, the calculation gives -1276 meV per atom.

a = 3.9720 Å, b = 5.6202 Å, c = 8.0820 Å
α = 90.00°, β = 90.00°, γ = 90.00°
Element x y z (fractional)
La 0.2500 0.2500 0.1212
La 0.7500 0.7500 0.8788
Sm 0.2500 0.2500 0.6206
Sm 0.7500 0.7500 0.3794
S 0.2500 0.7500 0.6197
S 0.7500 0.2500 0.3803

16.
Here is a geometry-optimized SrNiSb3 structure from Alexandria via LeMat-Bulk. Energies are from GGA-PBE.

Properties
As for the symmetry: Pm-3m, No. 221. The relative energy among the computed polymorphs comes out at 1816 meV per atom. For the uncorrected formation energy, the calculation gives 1398 meV per atom.

a = 5.9424 Å, b = 5.9424 Å, c = 5.9424 Å
α = 90.00°, β = 90.00°, γ = 90.00°
Element x y z (fractional)
Sr 0.0000 0.0000 0.0000
Ni 0.5000 0.5000 0.5000
Sb 0.0000 0.0000 0.5000
Sb 0.0000 0.5000 0.0000
Sb 0.5000 0.0000 0.0000

17.
Here is a geometry-optimized SmCo3C structure from Alexandria via LeMat-Bulk. Energies are from GGA-PBE.

Properties
As for the symmetry: Amm2, No. 38. For the formation energy, the calculation gives 0.13 eV/atom.

a = 3.7536 Å, b = 5.3725 Å, c = 5.3725 Å
α = 39.42°, β = 90.00°, γ = 90.00°
Element x y z (fractional)
Sm 0.0000 0.0000 0.0000
Co 0.0000 0.7323 0.7323
Co 0.5000 0.2721 0.2721
Co 0.5000 0.5921 0.5921
C 0.0000 0.2859 0.2859